(1)
Computed, not measured: a relaxed structure of ReSb2IBr at the GGA-PBE level of DFT.

Calculated values
- Energy: -2.898 eV per atom
- Crystal system: tetragonal

a b c (Å): 5.582 5.582 5.552
angles (deg): 90.00 90.00 90.00
Space group P4/mmm (No. 123)
One atom of each set of equivalent atoms:
Re 0.000 0.000 0.000 x1
Sb 0.000 0.500 0.500 x2
I 0.500 0.500 0.000 x1
Br 0.500 0.500 0.500 x1



(2)
Computed, not measured: a relaxed structure of K2Pm2InO6 at the GGA-PBE level of DFT.

Calculated values
- Energy: -6.179 eV per atom
- Crystal system: monoclinic

a b c (Å): 6.077 10.630 6.649
angles (deg): 90.00 106.04 90.00
Space group C2/m (No. 12)
One atom of each set of equivalent atoms:
K 0.000 0.159 0.000 x4
Pm 0.000 0.337 0.500 x4
In 0.000 0.000 0.500 x2
O 0.210 0.165 0.679 x8
O 0.247 0.500 0.678 x4



The lowest energy belongs to which entry? K2Pm2InO6



Copy entry 1 word for word.
Computed, not measured: a relaxed structure of ReSb2IBr at the GGA-PBE level of DFT.

Calculated values
- Energy: -2.898 eV per atom
- Crystal system: tetragonal

a b c (Å): 5.582 5.582 5.552
angles (deg): 90.00 90.00 90.00
Space group P4/mmm (No. 123)
One atom of each set of equivalent atoms:
Re 0.000 0.000 0.000 x1
Sb 0.000 0.500 0.500 x2
I 0.500 0.500 0.000 x1
Br 0.500 0.500 0.500 x1



Number 1 is which compound? ReSb2IBr



Among the records above, which one has the highest energy? ReSb2IBr